## BeSi2Sb (PBE)

Data for a relaxed BeSi2Sb crystal.

- DFT total energy (Ry per atom) = -0.3162
- energy relative to the lowest polymorph listed for this composition (eV per atom) = 0.057

a = 5.4549 Å, b = 5.4549 Å, c = 11.5455 Å
α = 90.00°, β = 90.00°, γ = 90.00°
Last column: nearest neighbours and their distance in Å.
Space group I-42d (No. 122)
Inequivalent atoms, fractional coordinates:
Be1 0.0000 0.0000 0.0000 (multiplicity 4)  4 Si 2.22
Si1 0.1823 0.2500 0.1250 (multiplicity 8)  2 Be 2.22
Sb1 0.0000 0.0000 0.5000 (multiplicity 4)  4 Si 2.64